PaTaTl2O6 | PBE | optimized geometry

Lattice parameters (Å, degrees): 5.9983 5.9989 8.4831 90.00 90.00 90.00
Last column: nearest neighbours and their distance in Å.
Fractional positions:
1 Pa 0.0000 0.7498 0.5000  6 O 2.22
2 Pa 0.5000 0.2502 0.0000  6 O 2.22
3 Ta 0.5000 0.2499 0.5000  6 O 2.02-2.03
4 Ta 0.0000 0.7501 0.0000  6 O 2.02-2.03
5 Tl 0.5000 0.7502 0.2499  12 O 3.00
6 Tl 0.0000 0.2498 0.7499  12 O 3.00
7 Tl 0.5000 0.7502 0.7501  12 O 3.00
8 Tl 0.0000 0.2498 0.2501  12 O 3.00
9 O 0.5000 0.2498 0.2613  1 Ta 2.03, 1 Pa 2.22
10 O 0.5000 0.2498 0.7387  1 Ta 2.03, 1 Pa 2.22
11 O 0.0000 0.7502 0.2387  1 Ta 2.03, 1 Pa 2.22
12 O 0.0000 0.7502 0.7613  1 Ta 2.03, 1 Pa 2.22
13 O 0.2613 0.0110 0.5000  1 Ta 2.03, 1 Pa 2.22
14 O 0.7387 0.0110 0.5000  1 Ta 2.03, 1 Pa 2.22
15 O 0.2612 0.4884 0.5000  1 Ta 2.02, 1 Pa 2.22
16 O 0.7388 0.4884 0.5000  1 Ta 2.02, 1 Pa 2.22
17 O 0.7612 0.5116 0.0000  1 Ta 2.02, 1 Pa 2.22
18 O 0.2388 0.5116 0.0000  1 Ta 2.02, 1 Pa 2.22
19 O 0.2387 0.9890 0.0000  1 Ta 2.03, 1 Pa 2.22
20 O 0.7613 0.9890 0.0000  1 Ta 2.03, 1 Pa 2.22

Calculated values
Raw formation energy = -24.8 eV/f.u.
V = 305 Å³ per cell
Total magnetization = 0.00 Bohr magnetons per cell
E = -161.18 eV for the cell shown


PmAlCdNi | PBE | optimized geometry

Lattice parameters (Å, degrees): 4.8140 4.8140 4.8140 60.00 60.00 60.00
Last column: nearest neighbours and their distance in Å.
Fractional positions:
1 Ni 0.2500 0.2500 0.2500  4 Al 2.95, 4 Pm 2.95
2 Cd 0.7500 0.7500 0.7500  4 Al 2.95, 4 Pm 2.95
3 Al 0.5000 0.5000 0.5000  4 Cd 2.95, 4 Ni 2.95
4 Pm 0.0000 0.0000 0.0000  4 Ni 2.95, 4 Cd 2.95

Calculated values
V = 79 Å³ per cell
Total magnetization = 0.00 Bohr magnetons per cell
E = -16.08 eV for the cell shown
Formation energy = -0.886 eV/f.u.


PuCrPt4 | PBE | optimized geometry

Lattice parameters (Å, degrees): 5.3581 5.3581 5.3581 60.00 60.00 60.00
Last column: nearest neighbours and their distance in Å.
Fractional positions:
1 Cr 0.0000 0.0000 0.0000  12 Pt 3.14, 4 Pu 3.28
2 Pt 0.6254 0.6254 0.1238  6 Pt 2.67-2.69
3 Pt 0.6254 0.1238 0.6254  6 Pt 2.67-2.69
4 Pt 0.6254 0.6254 0.6254  6 Pt 2.67-2.69
5 Pt 0.1238 0.6254 0.6254  6 Pt 2.67-2.69
6 Pu 0.2500 0.2500 0.2500  12 Pt 3.14, 4 Cr 3.28

Calculated values
V = 109 Å³ per cell
Total magnetization = 8.90 Bohr magnetons per cell
E = -50.67 eV for the cell shown
Formation energy = -2.554 eV/f.u.


NdCoNi3 | PBE | optimized geometry

Lattice parameters (Å, degrees): 5.2088 5.8512 5.8511 120.01 90.00 90.00
Last column: nearest neighbours and their distance in Å.
Fractional positions:
1 Nd 0.7482 0.6667 0.3334  12 Ni 2.94-2.95
2 Nd 0.2518 0.3333 0.6666  12 Ni 2.94-2.95
3 Co 0.0000 0.0000 0.0000  6 Ni 2.37, 2 Co 2.60
4 Co 0.5000 0.0000 0.0000  6 Ni 2.38, 2 Co 2.60
5 Ni 0.7517 0.6078 0.8039  2 Co 2.37-2.38, 2 Ni 2.41
6 Ni 0.2483 0.8039 0.6078  2 Co 2.37-2.38, 2 Ni 2.41
7 Ni 0.2483 0.3922 0.1961  2 Co 2.37-2.38, 2 Ni 2.41
8 Ni 0.7517 0.1961 0.3922  2 Co 2.37-2.38, 2 Ni 2.41
9 Ni 0.2483 0.8039 0.1960  2 Co 2.37-2.38, 2 Ni 2.41
10 Ni 0.7517 0.1961 0.8040  2 Co 2.37-2.38, 2 Ni 2.41

Calculated values
V = 154 Å³ per cell
Total magnetization = 4.56 Bohr magnetons per cell
E = -58.63 eV for the cell shown
Formation energy = -0.096 eV/f.u.